A relaxed Ba6IrPt2Br3 crystal. Source: Alexandria, functional PBE.

a = 7.925 Å, b = 7.925 Å, c = 8.635 Å
α = 98.80°, β = 98.80°, γ = 119.99°
Atoms (fractional coordinates):
Ba1 0.606 0.930 0.789
Ba2 0.930 0.606 0.789
Ba3 0.394 0.070 0.211
Ba4 0.747 0.747 0.211
Ba5 0.070 0.394 0.211
Ba6 0.253 0.253 0.789
Br1 0.834 0.166 0.500
Br2 0.166 0.834 0.500
Br3 0.500 0.500 0.500
Pt1 0.667 0.333 0.000
Pt2 0.333 0.667 0.000
Ir1 0.000 0.000 0.000

Calculated values
Its size of the total moment is 0.00 μB per formula unit.



A relaxed Ba4IrPtBr2 crystal. Source: Alexandria, functional PBE.

a = 4.574 Å, b = 7.920 Å, c = 8.588 Å
α = 107.78°, β = 90.00°, γ = 90.00°
Atoms (fractional coordinates):
Br1 0.000 0.500 0.500
Br2 0.500 0.000 0.500
Ba1 0.500 0.754 0.789
Ba2 0.000 0.271 0.790
Ba3 0.500 0.246 0.211
Ba4 0.000 0.729 0.210
Pt1 0.000 0.000 0.000
Ir1 0.500 0.500 0.000

Calculated values
Its size of the total moment is 0.00 μB per formula unit.



A relaxed Ba8IrPt3Br4 crystal. Source: Alexandria, functional PBE.

a = 9.149 Å, b = 9.789 Å, c = 9.148 Å
α = 117.88°, β = 120.00°, γ = 90.00°
Atoms (fractional coordinates):
Ba1 0.233 0.711 0.467
Ba2 0.767 0.289 0.533
Ba3 0.262 0.287 0.525
Ba4 0.767 0.289 0.022
Ba5 0.745 0.711 0.978
Ba6 0.255 0.289 0.022
Ba7 0.738 0.713 0.475
Ba8 0.233 0.711 0.978
Br1 0.000 0.000 0.000
Br2 0.500 0.000 0.500
Br3 0.000 0.000 0.500
Br4 0.500 0.000 0.000
Ir1 0.000 0.500 0.000
Pt1 0.500 0.500 0.500
Pt2 0.500 0.500 0.000
Pt3 0.000 0.500 0.500

Calculated values
Its size of the total moment is 0.00 μB per formula unit.



A relaxed Ba6Ir2PtBr3 crystal. Source: Alexandria, functional PBE.

a = 7.927 Å, b = 7.927 Å, c = 8.546 Å
α = 98.90°, β = 98.90°, γ = 119.99°
Atoms (fractional coordinates):
Ba1 0.586 0.930 0.790
Ba2 0.726 0.726 0.210
Ba3 0.070 0.414 0.210
Ba4 0.930 0.586 0.790
Ba5 0.274 0.274 0.790
Ba6 0.414 0.070 0.210
Br1 0.166 0.834 0.500
Br2 0.834 0.166 0.500
Br3 0.500 0.500 0.500
Pt1 0.000 0.000 0.000
Ir1 0.667 0.333 0.000
Ir2 0.333 0.667 0.000

Calculated values
Its size of the total moment is 0.00 μB per formula unit.



A relaxed Rb2BaIrBr8 crystal. Source: Alexandria, functional PBE.

a = 6.185 Å, b = 8.502 Å, c = 9.477 Å
α = 89.99°, β = 90.01°, γ = 109.91°
Last column: magnetic moment on the atom in μB.
Atoms (fractional coordinates):
Rb1 0.501 0.500 0.760  0.00
Rb2 0.499 0.500 0.240  0.00
Ba1 0.000 0.000 0.500  0.00
Br1 0.589 0.831 0.000  0.14
Br2 0.468 0.757 0.500  0.01
Br3 0.532 0.243 0.500  0.01
Br4 0.935 0.187 0.191  0.02
Br5 0.065 0.813 0.809  0.02
Br6 0.935 0.187 0.809  0.02
Br7 0.411 0.169 0.000  0.14
Br8 0.065 0.813 0.191  0.02
Ir1 0.000 0.000 0.000  0.55

Calculated values
Its size of the total moment is 1.08 μB per formula unit.



A relaxed Ba6IrS2Br3 crystal. Source: Alexandria, functional PBE.

a = 8.032 Å, b = 8.032 Å, c = 8.410 Å
α = 99.24°, β = 99.24°, γ = 119.91°
Last column: magnetic moment on the atom in μB.
Atoms (fractional coordinates):
Ba1 0.070 0.391 0.210  0.10
Ba2 0.930 0.609 0.790  0.10
Ba3 0.748 0.748 0.211  0.10
Ba4 0.252 0.252 0.789  0.10
Ba5 0.609 0.930 0.790  0.10
Ba6 0.391 0.070 0.210  0.10
S1 0.333 0.667 0.000  0.00
S2 0.667 0.333 0.000  0.00
Br1 0.500 0.500 0.500  0.01
Br2 0.170 0.830 0.500  0.01
Br3 0.830 0.170 0.500  0.01
Ir1 0.000 0.000 0.000  -0.02

Calculated values
Its size of the total moment is 2.07 μB per formula unit.



A relaxed BaIrSe2Br crystal. Source: Alexandria, functional PBE.

a = 5.022 Å, b = 5.022 Å, c = 5.288 Å
α = 90.00°, β = 90.00°, γ = 90.00°
Atoms (fractional coordinates):
Br1 0.000 0.000 0.500
Se1 0.000 0.500 0.000
Se2 0.500 0.000 0.000
Ba1 0.500 0.500 0.500
Ir1 0.000 0.000 0.000

Calculated values
For the energy relative to the lowest polymorph listed for this composition, the calculation gives 0.000 eV per atom. Its size of the total moment is 0.00 μB per formula unit.



A relaxed Ba6IrSe2Br3 crystal. Source: Alexandria, functional PBE.

a = 8.202 Å, b = 8.202 Å, c = 8.383 Å
α = 99.49°, β = 99.49°, γ = 119.83°
Last column: magnetic moment on the atom in μB.
Atoms (fractional coordinates):
Br1 0.174 0.826 0.500  0.01
Br2 0.826 0.174 0.500  0.01
Br3 0.500 0.500 0.500  0.01
Ba1 0.760 0.760 0.219  0.10
Ba2 0.240 0.240 0.781  0.10
Ba3 0.616 0.928 0.784  0.10
Ba4 0.928 0.616 0.784  0.10
Ba5 0.072 0.384 0.216  0.10
Ba6 0.384 0.072 0.216  0.10
Ir1 0.000 0.000 0.000  -0.03
Se1 0.666 0.334 0.000  0.00
Se2 0.334 0.666 0.000  0.00

Calculated values
Its size of the total moment is 2.09 μB per formula unit.



A relaxed BaIrSe2Br crystal. Source: Alexandria, functional PBE.

a = 6.368 Å, b = 6.368 Å, c = 6.182 Å
α = 90.00°, β = 90.00°, γ = 90.00°
Last column: magnetic moment on the atom in μB.
Atoms (fractional coordinates):
Ba1 0.000 0.000 0.000  0.00
Se1 0.500 0.000 0.000  0.75
Se2 0.000 0.500 0.000  0.75
Ir1 0.500 0.500 0.500  2.80
Br1 0.000 0.000 0.500  0.11

Calculated values
For the energy relative to the lowest polymorph listed for this composition, the calculation gives 1.703 eV per atom. Its size of the total moment is 6.02 μB per formula unit.



A relaxed Ba2SnIrBr crystal. Source: Alexandria, functional PBE.

a = 6.221 Å, b = 6.221 Å, c = 5.022 Å
α = 90.00°, β = 90.00°, γ = 90.00°
Atoms (fractional coordinates):
Ba1 0.000 0.500 0.000
Ba2 0.500 0.000 0.000
Br1 0.500 0.500 0.500
Ir1 0.000 0.000 0.000
Sn1 0.000 0.000 0.500

Calculated values
Its size of the total moment is 0.00 μB per formula unit.



A relaxed Ba2TlIrBr crystal. Source: Alexandria, functional PBE.

a = 6.122 Å, b = 6.122 Å, c = 5.226 Å
α = 90.00°, β = 90.00°, γ = 90.00°
Atoms (fractional coordinates):
Ir1 0.000 0.000 0.000
Ba1 0.000 0.500 0.000
Ba2 0.500 0.000 0.000
Br1 0.500 0.500 0.500
Tl1 0.000 0.000 0.500

Calculated values
Its size of the total moment is 0.00 μB per formula unit.



A relaxed BaVIr2Br crystal. Source: Alexandria, functional PBE.

a = 5.212 Å, b = 5.933 Å, c = 5.212 Å
α = 90.00°, β = 90.00°, γ = 90.00°
Last column: magnetic moment on the atom in μB.
Atoms (fractional coordinates):
Ir1 0.500 0.000 0.000  0.68
Ir2 0.000 0.000 0.500  0.62
Br1 0.000 0.500 0.000  0.04
V1 0.500 0.500 0.500  -3.05
Ba1 0.000 0.000 0.000  -0.03

Calculated values
Its size of the total moment is 2.35 μB per formula unit.



Here are the calculated formation energy (no corrections) numbers, same order: -1.151, -1.082, -1.182, -1.016, -1.161, -1.554, -0.687, -1.544, 1.017, -0.810, -0.665, 2.050 (eV per atom).